[1]
Material: Al2Au
Method: DFT, PBE
State: relaxed

Cell lengths 4.066, 4.066, 3.472 Å; angles 90.00, 90.00, 90.00 degrees
Atoms (fractional coordinates):
Al: 0.500 0.000 0.500
Al: 0.000 0.500 0.500
Au: 0.000 0.000 0.000

The calculation puts the formation energy at -0.138 eV/atom. For the total energy, the calculation gives -3.725 eV/atom. For the volume, the calculation gives 19.13 Å³/atom. As for the space-group type: No. 123.

***

[2]
Material: Al3Au
Method: DFT, PBE
State: relaxed

Cell lengths 4.008, 5.071, 7.183 Å; angles 90.00, 90.00, 90.00 degrees
Atoms (fractional coordinates):
Au: 0.000 0.534 0.000
Au: 0.500 0.466 0.500
Al: 0.000 0.225 0.301
Al: 0.500 0.775 0.801
Al: 0.500 0.775 0.199
Al: 0.000 0.781 0.500
Al: 0.000 0.225 0.699
Al: 0.500 0.219 0.000

The calculation puts the formation energy at -0.141 eV/atom. For the total energy, the calculation gives -3.767 eV/atom. For the volume, the calculation gives 18.25 Å³/atom. As for the space-group type: No. 59.

***

[3]
Material: AlAu4
Method: DFT, PBE
State: relaxed

Cell lengths 7.557, 7.557, 7.557 Å; angles 151.02, 151.02, 41.45 degrees
Atoms (fractional coordinates):
Au: 0.406 0.406 0.000
Au: 0.594 0.594 0.000
Au: 0.250 0.750 0.500
Au: 0.750 0.250 0.500
Al: 0.000 0.000 0.000

The calculation puts the formation energy at 0.077 eV/atom. For the total energy, the calculation gives -3.294 eV/atom. For the volume, the calculation gives 20.22 Å³/atom. The energy above the most stable polymorph in this dataset is 286.3 meV/atom. As for the space-group type: No. 139.

***

[4]
Material: AlAu4
Method: DFT, PBE
State: relaxed

Cell lengths 5.622, 5.622, 7.027 Å; angles 113.58, 113.58, 90.00 degrees
Atoms (fractional coordinates):
Au: 0.739 0.352 0.168
Au: 0.648 0.572 0.832
Au: 0.102 0.678 0.668
Au: 0.322 0.434 0.332
Au: 0.428 0.816 0.168
Au: 0.184 0.261 0.832
Au: 0.566 0.989 0.668
Au: 0.011 0.898 0.332
Al: 0.750 0.250 0.500
Al: 0.000 0.000 0.000

The calculation puts the formation energy at -0.173 eV/atom. For the total energy, the calculation gives -3.543 eV/atom. For the volume, the calculation gives 18.31 Å³/atom. The energy above the most stable polymorph in this dataset is 37.3 meV/atom. As for the space-group type: No. 88.

***

[5]
Material: Al3Au
Method: DFT, PBE
State: relaxed

Cell lengths 3.003, 3.003, 8.731 Å; angles 90.00, 90.00, 120.00 degrees
Atoms (fractional coordinates):
Au: 0.667 0.333 0.750
Al: 0.667 0.333 0.250
Al: 0.000 0.000 0.996
Al: 0.000 0.000 0.504

The calculation puts the formation energy at -0.069 eV/atom. For the total energy, the calculation gives -3.696 eV/atom. For the volume, the calculation gives 17.05 Å³/atom. As for the space-group type: No. 187.

***

[6]
Material: Al7Au
Method: DFT, PBE
State: relaxed

Cell lengths 5.713, 5.713, 5.713 Å; angles 60.00, 60.00, 60.00 degrees
Atoms (fractional coordinates):
Al: 0.500 0.000 0.000
Al: 0.000 0.000 0.500
Al: 0.500 0.500 0.000
Al: 0.500 0.500 0.500
Al: 0.000 0.500 0.500
Al: 0.500 0.000 0.500
Al: 0.000 0.500 0.000
Au: 0.000 0.000 0.000

The calculation puts the formation energy at -0.095 eV/atom. For the total energy, the calculation gives -3.779 eV/atom. For the volume, the calculation gives 16.48 Å³/atom. As for the space-group type: No. 225.

***

[7]
Material: Al4Au
Method: DFT, PBE
State: relaxed

Cell lengths 4.874, 4.874, 4.874 Å; angles 90.00, 90.00, 90.00 degrees
Atoms (fractional coordinates):
Au: 0.500 0.500 0.500
Al: 0.500 0.500 0.000
Al: 0.000 0.000 0.000
Al: 0.500 0.000 0.500
Al: 0.000 0.500 0.500

The calculation puts the formation energy at 0.354 eV/atom. For the total energy, the calculation gives -3.296 eV/atom. For the volume, the calculation gives 23.16 Å³/atom. The energy above the most stable polymorph in this dataset is 462.4 meV/atom. As for the space-group type: No. 221.

***

[8]
Material: Al2Au
Method: DFT, PBE
State: relaxed

Cell lengths 12.022, 12.022, 12.022 Å; angles 165.71, 165.71, 20.26 degrees
Atoms (fractional coordinates):
Au: 0.000 0.000 0.000
Au: 0.750 0.250 0.500
Al: 0.424 0.424 0.000
Al: 0.576 0.576 0.000
Al: 0.326 0.826 0.500
Al: 0.174 0.674 0.500

The calculation puts the formation energy at -0.158 eV/atom. For the total energy, the calculation gives -3.746 eV/atom. For the volume, the calculation gives 17.64 Å³/atom. As for the space-group type: No. 141.